DFT (PBE) results for a relaxed structure of TaSb2Te.

```
data_TaSb2Te
_symmetry_space_group_name_H-M 'P 1 m 1'
_symmetry_Int_Tables_number 6
_cell_length_a 3.7260
_cell_length_b 4.8467
_cell_length_c 5.6986
_cell_angle_alpha 90.00
_cell_angle_beta 108.46
_cell_angle_gamma 90.00
loop_
_symmetry_equiv_pos_as_xyz
'x,y,z'
'x,-y,z'
loop_
_atom_site_label
_atom_site_fract_x
_atom_site_fract_y
_atom_site_fract_z
_atom_site_occupancy
Ta1 0.0000 0.0000 0.0000 1
Sb1 0.4196 0.5000 0.8345 1
Sb2 0.7205 0.0000 0.4511 1
Te1 0.1366 0.5000 0.2854 1
```

DOS at the Fermi energy = 0.61 states/eV per atom
Total magnetization = 0.0 μB per formula unit
Volume = 97.6 Å³/cell
E_tot = -5.5008 eV per atom